The following is a PBE calculation of crystalline Pr2ErPdO6 at its relaxed geometry, from Alexandria.

a = 10.3186 Å, b = 5.7347 Å, c = 5.7270 Å
α = 90.00°, β = 120.89°, γ = 90.00°
With the nearest neighbours (Å) after each atom.
Space group C2 (No. 5)
Asymmetric unit:
Pr1 0.2447 0.0000 0.2155 [4 per cell]  6 O 2.34-2.57
Er1 0.0000 0.0218 0.5000 [2 per cell]  6 O 2.20-2.23
Pd1 0.0000 0.5205 0.0000 [2 per cell]  4 O 2.04-2.07
O1 0.0753 0.7606 0.8269 [4 per cell]  1 Pd 2.07, 1 Er 2.20
O2 0.0758 0.2729 0.8441 [4 per cell]  1 Pd 2.04, 1 Er 2.23
O3 0.2381 0.0826 0.6096 [4 per cell]  1 Er 2.23, 1 Pr 2.34, 1 Pd 2.49

size of the total moment	2.017	Bohr magnetons per cell
E_form (uncorrected)	-249	kJ per mole of atoms



The following is a PBE calculation of crystalline Y2Mg2S at its relaxed geometry, from Alexandria.

a = 7.2106 Å, b = 7.2106 Å, c = 5.4089 Å
α = 90.00°, β = 90.00°, γ = 90.00°
With the nearest neighbours (Å) after each atom.
Space group P4/mbm (No. 127)
Asymmetric unit:
Y1 0.1672 0.3328 0.0000 [4 per cell]  2 S 2.69
Mg1 0.1416 0.6416 0.5000 [4 per cell]  1 Mg 2.89
S1 0.0000 0.0000 0.0000 [2 per cell]  4 Y 2.69

distance to the lowest polymorph of the same formula	0.000	eV/atom
size of the total moment	0.000	Bohr magnetons per cell
E_form (uncorrected)	-54	kJ per mole of atoms



The following is a PBE calculation of crystalline Zr3NbTe8 at its relaxed geometry, from Alexandria.

a = 13.4448 Å, b = 7.7617 Å, c = 8.6726 Å
α = 90.00°, β = 121.68°, γ = 90.00°
With the nearest neighbours (Å) after each atom.
Space group C2/m (No. 12)
Asymmetric unit:
Zr1 0.0000 0.0000 0.0000 [2 per cell]  6 Te 2.91
Zr2 0.2500 0.2500 0.0000 [4 per cell]  6 Te 2.90-2.91
Nb1 0.0000 0.5000 0.0000 [2 per cell]  6 Te 2.85
Te1 0.0019 0.2551 0.2467 [8 per cell]  1 Nb 2.85, 2 Zr 2.90-2.91
Te2 0.2465 0.5000 0.2466 [4 per cell]  1 Nb 2.85, 2 Zr 2.91
Te3 0.2482 0.5000 0.7484 [4 per cell]  3 Zr 2.91

size of the total moment	0.000	Bohr magnetons per cell
E_form (uncorrected)	-72	kJ per mole of atoms



The following is a PBE calculation of crystalline SrAlAgPb2 at its relaxed geometry, from Alexandria.

a = 5.3815 Å, b = 5.3815 Å, c = 6.1326 Å
α = 90.00°, β = 90.00°, γ = 90.00°
With the nearest neighbours (Å) after each atom.
Space group P4/mmm (No. 123)
Asymmetric unit:
Sr1 0.0000 0.0000 0.0000 [1 per cell]  2 Al 3.07
Al1 0.0000 0.0000 0.5000 [1 per cell]  4 Pb 2.69
Ag1 0.5000 0.5000 0.0000 [1 per cell]  4 Sr 3.81, 8 Pb 4.08
Pb1 0.0000 0.5000 0.5000 [2 per cell]  2 Al 2.69

formation energy from the elements	0.3269	eV/atom
size of the total moment	0.000	Bohr magnetons per cell



> Which value of size of the total moment does entry 4 give?

0.000 Bohr magnetons per cell